[1]
# NaCaAu2I

An optimized crystal structure of NaCaAu2I (PBE-GGA, Alexandria).

abc: 5.4070 11.5957 5.4070
angles: 90.00 90.00 90.00
Last column: nearest neighbours and their distance in Å.
Sites, in units of the cell vectors:
Ca: 0.0000 0.0000 0.0000  4 Au 2.70
Au: 0.5000 0.0000 0.0000  2 Ca 2.70
Au: 0.0000 0.0000 0.5000  2 Ca 2.70
Na: 0.0000 0.5000 0.0000  4 I 3.82
I: 0.5000 0.5000 0.5000  4 Na 3.82

Values from the calculation:
E_form (uncorrected) = -0.60 eV per formula unit
Symmetry = P4/mmm


[2]
# CaOsAuI2

An optimized crystal structure of CaOsAuI2 (PBE-GGA, Alexandria).

abc: 5.9742 5.6231 5.9742
angles: 90.00 90.00 90.00
Last column: nearest neighbours and their distance in Å.
Sites, in units of the cell vectors:
Ca: 0.0000 0.0000 0.0000  2 Au 2.81, 4 I 2.99
I: 0.0000 0.0000 0.5000  2 Ca 2.99
I: 0.5000 0.0000 0.0000  2 Ca 2.99
Au: 0.0000 0.5000 0.0000  2 Ca 2.81
Os: 0.5000 0.5000 0.5000  8 I 4.10, 4 Au 4.22

Values from the calculation:
E_form (uncorrected) = 5.10 eV per formula unit
Symmetry = P4/mmm


[3]
# Rb2CaAuI

An optimized crystal structure of Rb2CaAuI (PBE-GGA, Alexandria).

abc: 6.9983 5.7467 6.9983
angles: 90.00 90.00 90.00
Last column: nearest neighbours and their distance in Å.
Sites, in units of the cell vectors:
Rb: 0.0000 0.0000 0.5000  2 I 3.50
Rb: 0.5000 0.0000 0.0000  2 I 3.50
I: 0.0000 0.0000 0.0000  2 Au 2.87
Ca: 0.5000 0.5000 0.5000  8 Rb 4.53, 4 Au 4.95
Au: 0.0000 0.5000 0.0000  2 I 2.87

Values from the calculation:
E_form (uncorrected) = -0.30 eV per formula unit
Symmetry = P4/mmm


[4]
# Rb2CaAuI6

An optimized crystal structure of Rb2CaAuI6 (PBE-GGA, Alexandria).

abc: 8.3498 8.3498 8.8259
angles: 61.77 61.77 90.00
Last column: nearest neighbours and their distance in Å.
Sites, in units of the cell vectors:
I: 0.7320 0.7320 0.5361  1 Ca 3.04
I: 0.2348 0.2348 0.0000  1 Au 2.77
I: 0.7652 0.7652 0.0000  1 Au 2.77
I: 0.2348 0.7652 0.0000  1 Au 2.77
I: 0.7652 0.2348 0.0000  1 Au 2.77
I: 0.2680 0.2680 0.4639  1 Ca 3.04
Rb: 0.2500 0.7500 0.5000  12 I 4.18-4.42
Rb: 0.7500 0.2500 0.5000  12 I 4.18-4.42
Ca: 0.5000 0.5000 0.0000  6 I 3.04-3.13
Au: 0.0000 0.0000 0.0000  4 I 2.77

Values from the calculation:
E_form (uncorrected) = -9.90 eV per formula unit
Symmetry = I4/mmm


[5]
# Rb2CaAuI5

An optimized crystal structure of Rb2CaAuI5 (PBE-GGA, Alexandria).

abc: 4.6842 11.1494 15.2132
angles: 90.00 90.00 102.13
Last column: nearest neighbours and their distance in Å.
Sites, in units of the cell vectors:
Rb: 0.8778 0.7556 0.8329  7 I 3.70-3.92
Rb: 0.1249 0.2498 0.7040  7 I 3.71-3.89
Rb: 0.1222 0.2444 0.3329  7 I 3.70-3.92
Rb: 0.8751 0.7502 0.2040  7 I 3.71-3.89
I: 0.4995 0.9990 0.7622  1 Au 2.71
I: 0.7002 0.4003 0.1591  2 Ca 3.18
I: 0.0560 0.1121 0.0254  2 Au 2.78
I: 0.6537 0.3074 0.5184  1 Ca 3.11
I: 0.3463 0.6926 0.0184  1 Ca 3.11
I: 0.2998 0.5997 0.6591  2 Ca 3.18
I: 0.2966 0.5932 0.3746  2 Ca 3.20
I: 0.7034 0.4068 0.8746  2 Ca 3.20
I: 0.9440 0.8879 0.5254  2 Au 2.78
I: 0.5005 0.0010 0.2622  1 Au 2.71
Au: 0.5408 0.0816 0.9299  3 I 2.71-2.78
Au: 0.4592 0.9184 0.4299  3 I 2.71-2.78
Ca: 0.2035 0.4070 0.0176  6 I 3.11-3.22
Ca: 0.7965 0.5930 0.5176  6 I 3.11-3.22

Values from the calculation:
E_form (uncorrected) = -10.87 eV per formula unit
Symmetry = Cmc2_1


[6]
# CaAuSI2

An optimized crystal structure of CaAuSI2 (PBE-GGA, Alexandria).

abc: 6.0904 5.2580 6.0904
angles: 90.00 90.00 90.00
Last column: nearest neighbours and their distance in Å.
Sites, in units of the cell vectors:
I: 0.5000 0.0000 0.0000  2 Ca 3.05
I: 0.0000 0.0000 0.5000  2 Ca 3.05
S: 0.0000 0.5000 0.0000  2 Ca 2.63
Au: 0.5000 0.5000 0.5000  8 I 4.02, 4 S 4.31
Ca: 0.0000 0.0000 0.0000  2 S 2.63

Values from the calculation:
E_form (uncorrected) = -0.22 eV per formula unit
Symmetry = P4/mmm


[7]
# CaSbAuI2

An optimized crystal structure of CaSbAuI2 (PBE-GGA, Alexandria).

abc: 5.8504 5.8504 6.4118
angles: 90.00 90.00 90.00
Last column: nearest neighbours and their distance in Å.
Sites, in units of the cell vectors:
Sb: 0.0000 0.0000 0.5000  2 Ca 3.21
I: 0.0000 0.5000 0.0000  2 Ca 2.93
I: 0.5000 0.0000 0.0000  2 Ca 2.93
Au: 0.5000 0.5000 0.5000  4 Sb 4.14, 8 I 4.34
Ca: 0.0000 0.0000 0.0000  4 I 2.93, 2 Sb 3.21

Values from the calculation:
E_form (uncorrected) = 0.72 eV per formula unit
Symmetry = P4/mmm
ΔE to the lowest computed polymorph = 260 meV/atom


[8]
# CaSbAuI2

An optimized crystal structure of CaSbAuI2 (PBE-GGA, Alexandria).

abc: 5.6408 5.6408 5.5775
angles: 90.00 90.00 90.00
Last column: nearest neighbours and their distance in Å.
Sites, in units of the cell vectors:
Ca: 0.5000 0.5000 0.5000  8 I 3.97, 4 Sb 3.99
I: 0.5000 0.0000 0.0000  2 Au 2.82
I: 0.0000 0.5000 0.0000  2 Au 2.82
Au: 0.0000 0.0000 0.0000  2 Sb 2.79, 4 I 2.82
Sb: 0.0000 0.0000 0.5000  2 Au 2.79

Values from the calculation:
E_form (uncorrected) = -0.58 eV per formula unit
Symmetry = P4/mmm
ΔE to the lowest computed polymorph = 0 meV/atom


no.,V (A^3/atom)
1,67.8
2,40.1
3,56.3
4,45.7
5,43.2
6,39.0
7,43.9
8,35.5